DFT (PBE) results for a relaxed structure of Na4Er3PtO8.

abc: 6.7132 6.7132 6.7125
angles: 118.71 118.71 58.55
Fractional coordinates of all 16 atoms:
Na 0.0000 0.0000 0.0000
Na 0.0000 0.5000 0.0000
Na 0.5000 0.0000 0.0000
Na 0.5000 0.5000 0.0000
Er 0.0000 0.0000 0.5000
Er 0.0000 0.5000 0.5000
Er 0.5000 0.0000 0.5000
Pt 0.5000 0.5000 0.5000
O 0.2305 0.2305 0.7079
O 0.2352 0.2352 0.2589
O 0.2504 0.7203 0.7042
O 0.2797 0.7496 0.2958
O 0.7203 0.2504 0.7042
O 0.7496 0.2797 0.2958
O 0.7648 0.7648 0.7411
O 0.7695 0.7695 0.2921

## Properties
symmetry	C2/m, No. 12
E_form (uncorrected)	-2306	meV per atom
crystal system	monoclinic
final energy	-0.2333	Ha/atom
volume	215.4	Å³ per cell
magnetic moment	1.0	μB per formula unit